# 1
Ta2Co4Pt (GGA-PBE, relaxed); magnetic moment = 2.5 μB/cell; E_form = -0.1516 eV per atom; total energy = -8.462 eV per atom; D(E_F) = 0.946 states/eV/atom
1.0
-2.605 -1.779 1.193
2.137 -2.279 1.269
0.574 6.349 5.953
Co Pt Ta
4 1 2
Direct
0.150 0.150 0.299 Co
0.850 0.850 0.701 Co
0.750 0.250 0.500 Co
0.250 0.750 0.500 Co
0.000 0.000 0.000 Pt
0.601 0.601 0.201 Ta
0.399 0.399 0.799 Ta

***

# 2
TaCo2Pt (GGA-PBE, relaxed); magnetic moment = 2.7 μB/cell; energy relative to the lowest polymorph listed for this composition = 396.1 meV per atom; E_form = -0.0382 eV per atom; total energy = -8.065 eV per atom; D(E_F) = 1.352 states/eV/atom
1.0
-1.105 1.642 1.914
0.087 -2.062 1.823
6.698 2.107 2.062
Co Pt Ta
2 1 1
Direct
0.000 0.000 0.006 Co
0.000 0.000 0.494 Co
0.500 0.500 0.250 Pt
0.500 0.500 0.750 Ta

***

# 3
Ta2CoPt2 (GGA-PBE, relaxed); magnetic moment = 2.6 μB/cell; energy relative to the lowest polymorph listed for this composition = 188.1 meV per atom; E_form = -0.0186 eV per atom; total energy = -8.597 eV per atom; D(E_F) = 0.718 states/eV/atom
1.0
-6.684 -1.776 1.378
2.116 -6.431 1.976
0.374 1.125 3.262
Co Pt Ta
2 4 4
Direct
0.000 0.000 0.000 Co
0.500 0.500 0.000 Co
0.137 0.637 0.500 Pt
0.637 0.863 0.500 Pt
0.863 0.363 0.500 Pt
0.363 0.137 0.500 Pt
0.334 0.834 0.000 Ta
0.834 0.666 0.000 Ta
0.666 0.166 0.000 Ta
0.166 0.334 0.000 Ta